Entry 1:
Entry from Alexandria: ZrCrAs2 after structural relaxation (GGA-PBEsol).

Lattice parameters (Å, degrees): 3.6883 3.6883 5.3544 90.00 90.00 90.00
Fractional positions:
Zr1 0.0000 0.0000 0.0000
Cr1 0.5000 0.5000 0.6014
As1 0.0000 0.0000 0.5127
As2 0.5000 0.5000 0.0933

Summary:
final energy = -7.889 eV/atom

Entry 2:
Entry from Alexandria: ZrCrAs2 after structural relaxation (GGA-PBEsol).

Lattice parameters (Å, degrees): 6.9174 6.9174 5.9608 90.00 90.00 90.00
Fractional positions:
Zr1 0.0000 0.0000 0.0000
Zr2 0.0000 0.5000 0.2500
Zr3 0.5000 0.0000 0.7500
Zr4 0.5000 0.5000 0.5000
Cr1 0.0000 0.0000 0.5000
Cr2 0.0000 0.5000 0.7500
Cr3 0.5000 0.0000 0.2500
Cr4 0.5000 0.5000 0.0000
As1 0.2178 0.2500 0.6250
As2 0.2500 0.7178 0.8750
As3 0.2500 0.7822 0.3750
As4 0.2822 0.2500 0.1250
As5 0.7178 0.7500 0.1250
As6 0.7500 0.2178 0.3750
As7 0.7500 0.2822 0.8750
As8 0.7822 0.7500 0.6250

Summary:
final energy = -7.629 eV/atom

Entry 3:
Entry from Alexandria: ZrCrAs4 after structural relaxation (GGA-PBEsol).

Lattice parameters (Å, degrees): 5.4125 5.4125 5.4125 60.00 60.00 60.00
Fractional positions:
Zr1 0.0000 0.0000 0.0000
Cr1 0.7500 0.7500 0.7500
As1 0.3752 0.3752 0.3752
As2 0.3752 0.3752 0.8745
As3 0.3752 0.8745 0.3752
As4 0.8745 0.3752 0.3752

Summary:
final energy = -6.277 eV/atom

Entry 4:
Entry from Alexandria: ZrCrAs after structural relaxation (GGA-PBEsol).

Lattice parameters (Å, degrees): 6.0352 6.0352 6.0352 90.00 90.00 90.00
Fractional positions:
Zr1 0.0000 0.0000 0.0000
Zr2 0.0000 0.5000 0.5000
Zr3 0.5000 0.0000 0.5000
Zr4 0.5000 0.5000 0.0000
Cr1 0.0000 0.0000 0.5000
Cr2 0.0000 0.5000 0.0000
Cr3 0.5000 0.0000 0.0000
Cr4 0.5000 0.5000 0.5000
As1 0.2500 0.2500 0.7500
As2 0.2500 0.7500 0.2500
As3 0.7500 0.2500 0.2500
As4 0.7500 0.7500 0.7500

Summary:
final energy = -8.290 eV/atom

Entry 5:
Entry from Alexandria: Zr2CrAs after structural relaxation (GGA-PBEsol).

Lattice parameters (Å, degrees): 3.6294 4.9531 7.8355 90.00 90.00 90.00
Fractional positions:
Zr1 0.0000 0.0000 0.2428
Zr2 0.0000 0.0000 0.7572
Zr3 0.5000 0.5000 0.2428
Zr4 0.5000 0.5000 0.7572
Cr1 0.0000 0.5000 0.0000
Cr2 0.5000 0.0000 0.0000
As1 0.0000 0.5000 0.5000
As2 0.5000 0.0000 0.5000

Summary:
final energy = -8.562 eV/atom

Entry 6:
Entry from Alexandria: ZrCrAs after structural relaxation (GGA-PBEsol).

Lattice parameters (Å, degrees): 3.1734 3.1734 9.3529 90.00 90.00 90.00
Fractional positions:
Zr1 0.0000 0.0000 0.0000
Zr2 0.5000 0.5000 0.5000
Cr1 0.0000 0.0000 0.3072
Cr2 0.5000 0.5000 0.8072
As1 0.0000 0.0000 0.6963
As2 0.5000 0.5000 0.1963

Summary:
final energy = -8.408 eV/atom

Entry 7:
Entry from Alexandria: Zr3CrAs after structural relaxation (GGA-PBEsol).

Lattice parameters (Å, degrees): 4.9389 4.9389 4.9389 90.00 90.00 90.00
Fractional positions:
Zr1 0.0000 0.0000 0.5000
Zr2 0.0000 0.5000 0.0000
Zr3 0.5000 0.0000 0.0000
Cr1 0.5000 0.5000 0.5000
As1 0.0000 0.0000 0.0000

Summary:
final energy = -8.152 eV/atom

Entry 8:
Entry from Alexandria: Cs3As after structural relaxation (GGA-PBEsol).

Lattice parameters (Å, degrees): 8.4609 8.4609 5.7092 90.00 90.00 120.00
Fractional positions:
Cs1 0.1854 0.3707 0.2500
Cs2 0.1854 0.8146 0.2500
Cs3 0.3707 0.1854 0.7500
Cs4 0.6293 0.8146 0.2500
Cs5 0.8146 0.1854 0.7500
Cs6 0.8146 0.6293 0.7500
As1 0.3333 0.6667 0.7500
As2 0.6667 0.3333 0.2500

Summary:
final energy = -2.220 eV/atom

Entry 9:
Entry from Alexandria: Cs3As after structural relaxation (GGA-PBEsol).

Lattice parameters (Å, degrees): 10.6398 10.6398 11.0815 90.00 90.00 120.00
Fractional positions:
Cs1 0.0000 0.0000 0.0864
Cs2 0.0000 0.0000 0.5864
Cs3 0.0000 0.2912 0.3309
Cs4 0.0000 0.3696 0.0000
Cs5 0.0000 0.6304 0.5000
Cs6 0.0000 0.7088 0.8309
Cs7 0.2912 0.0000 0.3309
Cs8 0.2912 0.2912 0.8309
Cs9 0.3333 0.6667 0.2159
Cs10 0.3333 0.6667 0.7159
Cs11 0.3696 0.0000 0.0000
Cs12 0.3696 0.3696 0.5000
Cs13 0.6304 0.0000 0.5000
Cs14 0.6304 0.6304 0.0000
Cs15 0.6667 0.3333 0.2159
Cs16 0.6667 0.3333 0.7159
Cs17 0.7088 0.0000 0.8309
Cs18 0.7088 0.7088 0.3309
As1 0.0000 0.3272 0.6652
As2 0.0000 0.6728 0.1652
As3 0.3272 0.0000 0.6652
As4 0.3272 0.3272 0.1652
As5 0.6728 0.0000 0.1652
As6 0.6728 0.6728 0.6652

Summary:
final energy = -2.279 eV/atom

One value per record, in order, for Fermi-level density of states: 2.1, 2.9, 4.1, 2.4, 3.6, 3.0, 3.4, 3.4, 3.7 states/eV/f.u..
One value per record, in order, for spin magnetization: 3.246, 11.721, 4.163, 9.759, 0.003, 0.004, 3.840, 0.000, 0.000 μB/cell.